[1]
Here is a relaxed structure of Tb2ScGe from Alexandria. Energies are from PBE.

abc: 4.5898 4.5898 4.5501
angles: 90.00 90.00 90.00
With the nearest neighbours (Å) after each atom.
Fractional coordinates of all 4 atoms:
Tb  0.0000  0.5000  0.0000  4 Ge 3.23, 4 Sc 3.23, 4 Tb 3.25
Tb  0.5000  0.0000  0.0000  4 Ge 3.23, 4 Sc 3.23, 4 Tb 3.25
Sc  0.0000  0.0000  0.5000  8 Tb 3.23, 4 Ge 3.25
Ge  0.5000  0.5000  0.5000  8 Tb 3.23, 4 Sc 3.25

## Properties
The calculation puts the raw total energy at -5.3946 eV per atom. The value obtained for the formation energy is -342 meV/atom. As for the space group: P4/mmm (123).


[2]
Here is a relaxed structure of TbSc3Ge3 from Alexandria. Energies are from PBE.

abc: 7.3572 7.3572 7.3572
angles: 69.24 69.24 69.24
With the nearest neighbours (Å) after each atom.
Fractional coordinates of all 14 atoms:
Tb  0.1677  0.1677  0.1677  6 Ge 2.94-3.00
Tb  0.8323  0.8323  0.8323  6 Ge 2.94-3.00
Sc  0.1234  0.6925  0.3984  5 Ge 2.71-3.00
Sc  0.3075  0.6016  0.8766  5 Ge 2.71-3.00
Sc  0.3984  0.1234  0.6925  5 Ge 2.71-3.00
Sc  0.6016  0.8766  0.3075  5 Ge 2.71-3.00
Sc  0.6925  0.3984  0.1234  5 Ge 2.71-3.00
Sc  0.8766  0.3075  0.6016  5 Ge 2.71-3.00
Ge  0.0631  0.4276  0.7806  5 Sc 2.71-3.00, 2 Tb 2.94-3.00
Ge  0.2194  0.9369  0.5724  5 Sc 2.71-3.00, 2 Tb 2.94-3.00
Ge  0.4276  0.7806  0.0631  5 Sc 2.71-3.00, 2 Tb 2.94-3.00
Ge  0.5724  0.2194  0.9369  5 Sc 2.71-3.00, 2 Tb 2.94-3.00
Ge  0.7806  0.0631  0.4276  5 Sc 2.71-3.00, 2 Tb 2.94-3.00
Ge  0.9369  0.5724  0.2194  5 Sc 2.71-3.00, 2 Tb 2.94-3.00

## Properties
The calculation puts the raw total energy at -5.9850 eV per atom. The value obtained for the formation energy is -631 meV/atom. As for the space group: R-3 (148).


[3]
Here is a relaxed structure of TbScGe from Alexandria. Energies are from PBE.

abc: 4.2298 4.2298 7.8761
angles: 90.00 90.00 90.00
With the nearest neighbours (Å) after each atom.
Fractional coordinates of all 6 atoms:
Tb  0.2500  0.2500  0.1487  5 Ge 3.08
Tb  0.7500  0.7500  0.8513  5 Ge 3.08
Sc  0.2500  0.7500  0.5000  4 Ge 2.93, 4 Sc 2.99
Sc  0.7500  0.2500  0.5000  4 Ge 2.93, 4 Sc 2.99
Ge  0.2500  0.2500  0.7579  4 Sc 2.93, 5 Tb 3.08
Ge  0.7500  0.7500  0.2421  4 Sc 2.93, 5 Tb 3.08

## Properties
The calculation puts the raw total energy at -5.9031 eV per atom. The value obtained for the formation energy is -710 meV/atom. As for the space group: P4/nmm (129).


[4]
Here is a relaxed structure of TbSc3Ge2 from Alexandria. Energies are from PBE.

abc: 8.4617 8.4617 8.5516
angles: 112.45 112.45 28.66
With the nearest neighbours (Å) after each atom.
Fractional coordinates of all 12 atoms:
Tb  0.1157  0.1157  0.1398  6 Ge 2.97-3.16, 1 Sc 3.28
Tb  0.8843  0.8843  0.8602  6 Ge 2.97-3.16, 1 Sc 3.28
Sc  0.0558  0.0558  0.6940  3 Ge 2.75-2.92, 2 Sc 3.03
Sc  0.3092  0.3092  0.1097  4 Ge 2.83-3.11, 4 Sc 2.97-3.03
Sc  0.3508  0.3508  0.5137  4 Ge 2.84-3.06
Sc  0.6492  0.6492  0.4863  4 Ge 2.84-3.06
Sc  0.6908  0.6908  0.8903  4 Ge 2.83-3.11, 4 Sc 2.97-3.03
Sc  0.9442  0.9442  0.3060  3 Ge 2.75-2.92, 2 Sc 3.03
Ge  0.2377  0.2377  0.7148  7 Sc 2.84-3.11, 2 Tb 3.06
Ge  0.4884  0.4884  0.1468  1 Ge 2.68, 3 Sc 2.75-2.83, 2 Tb 2.97
Ge  0.5116  0.5116  0.8532  1 Ge 2.68, 3 Sc 2.75-2.83, 2 Tb 2.97
Ge  0.7623  0.7623  0.2852  7 Sc 2.84-3.11, 2 Tb 3.06

## Properties
The calculation puts the raw total energy at -6.0927 eV per atom. The value obtained for the formation energy is -616 meV/atom. As for the space group: C2/m (12).


[5]
Here is a relaxed structure of TbScGe from Alexandria. Energies are from PBE.

abc: 7.6201 7.6201 4.1632
angles: 90.00 90.00 120.00
With the nearest neighbours (Å) after each atom.
Fractional coordinates of all 9 atoms:
Tb  0.0000  0.4079  0.0000  5 Ge 3.11, 6 Sc 3.33-3.42
Tb  0.4079  0.0000  0.0000  5 Ge 3.11, 6 Sc 3.33-3.42
Tb  0.5921  0.5921  0.0000  5 Ge 3.11, 6 Sc 3.33-3.42
Sc  0.0000  0.7492  0.5000  4 Ge 2.83-2.91
Sc  0.2508  0.2508  0.5000  4 Ge 2.83-2.91
Sc  0.7492  0.0000  0.5000  4 Ge 2.83-2.91
Ge  0.0000  0.0000  0.0000  6 Sc 2.83, 3 Tb 3.11
Ge  0.3333  0.6667  0.5000  3 Sc 2.91, 6 Tb 3.11
Ge  0.6667  0.3333  0.5000  3 Sc 2.91, 6 Tb 3.11

## Properties
The calculation puts the raw total energy at -5.9020 eV per atom. The value obtained for the formation energy is -709 meV/atom. As for the space group: P-62m (189).


[6]
Here is a relaxed structure of TbScGe2 from Alexandria. Energies are from PBE.

abc: 5.7346 5.7346 5.7346
angles: 45.90 45.90 45.90
With the nearest neighbours (Å) after each atom.
Fractional coordinates of all 4 atoms:
Tb  0.0000  0.0000  0.0000  6 Ge 2.96
Sc  0.5000  0.5000  0.5000  6 Ge 2.81
Ge  0.2395  0.2395  0.2395  3 Sc 2.81, 3 Tb 2.96
Ge  0.7605  0.7605  0.7605  3 Sc 2.81, 3 Tb 2.96

## Properties
The calculation puts the raw total energy at -5.7443 eV per atom. The value obtained for the formation energy is -695 meV/atom. As for the space group: R-3m (166).


[7]
Here is a relaxed structure of TbSc2Ge2 from Alexandria. Energies are from PBE.

abc: 5.0213 3.9078 11.5899
angles: 90.00 96.41 90.00
With the nearest neighbours (Å) after each atom.
Fractional coordinates of all 10 atoms:
Tb  0.1850  0.2500  0.2426  6 Ge 3.06-3.37, 2 Sc 3.39
Tb  0.8150  0.7500  0.7574  6 Ge 3.06-3.37, 2 Sc 3.39
Sc  0.2474  0.7500  0.4833  4 Ge 2.83-3.01
Sc  0.3405  0.2500  0.8957  5 Ge 2.56-2.78
Sc  0.6595  0.7500  0.1043  5 Ge 2.56-2.78
Sc  0.7526  0.2500  0.5167  4 Ge 2.83-3.01
Ge  0.1558  0.7500  0.0382  4 Sc 2.56-2.78, 2 Ge 2.60
Ge  0.2907  0.2500  0.6609  5 Sc 2.70-3.01
Ge  0.7093  0.7500  0.3391  5 Sc 2.70-3.01
Ge  0.8442  0.2500  0.9618  4 Sc 2.56-2.78, 2 Ge 2.60

## Properties
The calculation puts the raw total energy at -5.8782 eV per atom. The value obtained for the formation energy is -573 meV/atom. As for the space group: P2_1/m (11).


[8]
Here is a relaxed structure of Tb2ScGe from Alexandria. Energies are from PBE.

abc: 11.3820 11.3820 11.3820
angles: 17.23 17.23 17.23
With the nearest neighbours (Å) after each atom.
Fractional coordinates of all 4 atoms:
Tb  0.0864  0.0864  0.0864  1 Ge 2.91
Tb  0.9136  0.9136  0.9136  1 Ge 2.91
Sc  0.5000  0.5000  0.5000  6 Tb 3.34, 6 Sc 3.41
Ge  0.0000  0.0000  0.0000  2 Tb 2.91

## Properties
The calculation puts the raw total energy at -4.9062 eV per atom. The value obtained for the formation energy is 146 meV/atom. As for the space group: R-3m (166).


[9]
Here is a relaxed structure of TbScGe2 from Alexandria. Energies are from PBE.

abc: 3.8947 5.6368 5.6368
angles: 43.57 90.00 90.00
With the nearest neighbours (Å) after each atom.
Fractional coordinates of all 4 atoms:
Tb  0.0000  0.0000  0.0000  7 Ge 2.87-3.16
Sc  0.5000  0.2742  0.2742  7 Ge 2.90-3.13
Ge  0.0000  0.7259  0.7259  2 Ge 2.67, 1 Tb 2.87, 4 Sc 2.90
Ge  0.5000  0.5518  0.5518  2 Ge 2.67, 1 Sc 2.91, 4 Tb 2.91

## Properties
The calculation puts the raw total energy at -5.8738 eV per atom. The value obtained for the formation energy is -825 meV/atom. As for the space group: Amm2 (38).


[10]
Here is a relaxed structure of TbScGe from Alexandria. Energies are from PBE.

abc: 8.3503 8.3503 8.3503
angles: 150.49 150.49 42.23
With the nearest neighbours (Å) after each atom.
Fractional coordinates of all 6 atoms:
Tb  0.1766  0.1766  0.0000  5 Ge 3.04-3.10
Tb  0.8234  0.8234  0.0000  5 Ge 3.04-3.10
Sc  0.0000  0.5000  0.5000  4 Ge 2.92, 4 Sc 3.01
Sc  0.5000  0.0000  0.5000  4 Ge 2.92, 4 Sc 3.01
Ge  0.3718  0.3718  0.0000  4 Sc 2.92, 5 Tb 3.04-3.10
Ge  0.6282  0.6282  0.0000  4 Sc 2.92, 5 Tb 3.04-3.10

## Properties
The calculation puts the raw total energy at -5.9256 eV per atom. The value obtained for the formation energy is -733 meV/atom. As for the space group: I4/mmm (139).


[11]
Here is a relaxed structure of TbScGe2 from Alexandria. Energies are from PBE.

abc: 3.8840 5.6387 7.7786
angles: 90.00 90.00 90.00
With the nearest neighbours (Å) after each atom.
Fractional coordinates of all 8 atoms:
Tb  0.0000  0.1307  0.0000  7 Ge 2.86-3.19
Tb  0.0000  0.8693  0.5000  7 Ge 2.86-3.19
Sc  0.5000  0.3704  0.6372  7 Ge 2.89-3.18
Sc  0.5000  0.6296  0.1372  7 Ge 2.89-3.18
Ge  0.0000  0.3990  0.3610  2 Ge 2.64, 1 Tb 2.86, 4 Sc 2.90-2.91
Ge  0.0000  0.6010  0.8610  2 Ge 2.64, 1 Tb 2.86, 4 Sc 2.90-2.91
Ge  0.5000  0.1045  0.2774  2 Ge 2.64, 1 Sc 2.89, 4 Tb 2.91-2.92
Ge  0.5000  0.8955  0.7774  2 Ge 2.64, 1 Sc 2.89, 4 Tb 2.91-2.92

## Properties
The calculation puts the raw total energy at -5.8653 eV per atom. The value obtained for the formation energy is -816 meV/atom. As for the space group: Pmc2_1 (26).


[12]
Here is a relaxed structure of Tb3ScGe6 from Alexandria. Energies are from PBE.

abc: 7.6114 7.6114 7.6114
angles: 97.56 97.56 97.56
With the nearest neighbours (Å) after each atom.
Fractional coordinates of all 20 atoms:
Tb  0.1817  0.7500  0.3183  8 Ge 2.98-3.17
Tb  0.2500  0.6817  0.8183  8 Ge 2.98-3.17
Tb  0.3183  0.1817  0.7500  8 Ge 2.98-3.17
Tb  0.6817  0.8183  0.2500  8 Ge 2.98-3.17
Tb  0.7500  0.3183  0.1817  8 Ge 2.98-3.17
Tb  0.8183  0.2500  0.6817  8 Ge 2.98-3.17
Sc  0.0000  0.0000  0.0000  6 Ge 2.78
Sc  0.5000  0.5000  0.5000  6 Ge 2.78
Ge  0.0118  0.0877  0.3679  2 Ge 2.52-2.57, 1 Sc 2.78
Ge  0.0877  0.3679  0.0118  2 Ge 2.52-2.57, 1 Sc 2.78
Ge  0.1321  0.4123  0.4882  2 Ge 2.52-2.57, 1 Sc 2.78
Ge  0.3679  0.0118  0.0877  2 Ge 2.52-2.57, 1 Sc 2.78
Ge  0.4123  0.4882  0.1321  2 Ge 2.52-2.57, 1 Sc 2.78
Ge  0.4882  0.1321  0.4123  2 Ge 2.52-2.57, 1 Sc 2.78
Ge  0.5118  0.8679  0.5877  2 Ge 2.52-2.57, 1 Sc 2.78
Ge  0.5877  0.5118  0.8679  2 Ge 2.52-2.57, 1 Sc 2.78
Ge  0.6321  0.9882  0.9123  2 Ge 2.52-2.57, 1 Sc 2.78
Ge  0.8679  0.5877  0.5118  2 Ge 2.52-2.57, 1 Sc 2.78
Ge  0.9123  0.6321  0.9882  2 Ge 2.52-2.57, 1 Sc 2.78
Ge  0.9882  0.9123  0.6321  2 Ge 2.52-2.57, 1 Sc 2.78

## Properties
The calculation puts the raw total energy at -5.4814 eV per atom. The value obtained for the formation energy is -689 meV/atom. As for the space group: R-3c (167).